DFT (GGA-PBE) results for Zn2FeNi after structural relaxation.

abc: 2.703 4.309 8.677
angles: 90.00 90.00 90.00
Space group Imm2 (No. 44)
One atom of each set of equivalent atoms:
Zn (0.000, 0.000, 0.000) (multiplicity 2)
Zn (0.000, 0.500, 0.238) (multiplicity 2)
Fe (0.000, 0.500, 0.755) (multiplicity 2)
Ni (0.000, 0.000, 0.493) (multiplicity 2)

Summary:
energy relative to the elements = -0.014 eV/atom